# 1
Entry from Alexandria via LeMat-Bulk: NbOs5 after structural relaxation (PBE).

```
NbOs5
1.0
3.891 0.000 0.000
0.000 3.898 0.000
0.000 -1.949 5.923
Nb Os
1 5
Direct
0.000 0.000 0.000
0.000 0.673 0.347
0.000 0.327 0.653
0.500 0.500 0.000
0.500 0.173 0.346
0.500 0.827 0.654
```

Calculated values
The total magnetic moment is 0.00 μB per atom. As for the formation energy from the elements: -3 meV per atom. Its space group is No. 65. The value obtained for the volume is 89.8 Å³/cell.

=====

# 2
Entry from Alexandria via LeMat-Bulk: Nb7Os after structural relaxation (PBE).

```
Nb7Os
1.0
-1.784 -1.107 -4.114
0.570 -4.482 0.959
-5.411 2.599 4.241
Nb Os
7 1
Direct
0.878 0.378 0.755
0.748 0.748 0.495
0.622 0.122 0.245
0.500 0.500 0.000
0.378 0.878 0.755
0.252 0.252 0.505
0.122 0.622 0.245
0.000 0.000 0.000
```

Calculated values
The total magnetic moment is 0.00 μB per atom. As for the formation energy from the elements: -161 meV per atom. Its space group is No. 139. The value obtained for the volume is 140.5 Å³/cell.

=====

# 3
Entry from Alexandria via LeMat-Bulk: NbOs after structural relaxation (PBE).

```
NbOs
1.0
7.320 0.000 0.000
-3.660 6.339 0.000
0.000 0.000 4.697
Nb Os
6 6
Direct
0.787 0.075 0.250
0.713 0.787 0.750
0.925 0.713 0.250
0.213 0.925 0.750
0.287 0.213 0.250
0.075 0.287 0.750
0.112 0.473 0.250
0.639 0.112 0.750
0.527 0.639 0.250
0.888 0.527 0.750
0.361 0.888 0.250
0.473 0.361 0.750
```

Calculated values
The total magnetic moment is 0.00 μB per atom. As for the formation energy from the elements: 300 meV per atom. Its space group is No. 176. The value obtained for the volume is 218.0 Å³/cell.

=====

# 4
Entry from Alexandria via LeMat-Bulk: NbOs after structural relaxation (PBE).

```
NbOs
1.0
5.196 0.000 0.000
0.000 5.041 0.000
0.000 0.000 10.374
Nb Os
8 8
Direct
0.366 0.120 0.055
0.866 0.380 0.945
0.634 0.620 0.445
0.134 0.880 0.555
0.349 0.385 0.737
0.849 0.115 0.263
0.651 0.885 0.763
0.151 0.615 0.237
0.858 0.886 0.018
0.358 0.614 0.982
0.142 0.386 0.482
0.642 0.114 0.518
0.144 0.908 0.804
0.644 0.592 0.196
0.856 0.408 0.696
0.356 0.092 0.304
```

Calculated values
The total magnetic moment is 0.00 μB per atom. As for the formation energy from the elements: -72 meV per atom. Its space group is No. 19. The value obtained for the volume is 271.7 Å³/cell.

=====

# 5
Entry from Alexandria via LeMat-Bulk: NbOs after structural relaxation (PBE).

```
NbOs
1.0
-2.482 0.107 -1.436
2.703 -5.831 -5.105
-0.729 -3.978 4.157
Nb Os
4 4
Direct
0.500 0.714 0.500
0.500 0.286 0.500
0.500 0.214 0.000
0.500 0.786 0.000
0.925 0.000 0.707
0.075 0.000 0.293
0.925 0.500 0.207
0.075 0.500 0.793
```

Calculated values
The total magnetic moment is 0.00 μB per atom. As for the formation energy from the elements: -88 meV per atom. Its space group is No. 12. The value obtained for the volume is 131.3 Å³/cell.

=====

# 6
Entry from Alexandria via LeMat-Bulk: NbOs2 after structural relaxation (PBE).

```
NbOs2
1.0
2.786 0.000 0.000
0.000 2.786 0.000
-1.393 -1.393 6.125
Nb Os
1 2
Direct
0.000 0.000 0.000
0.680 0.680 0.360
0.320 0.320 0.640
```

Calculated values
The total magnetic moment is 0.00 μB per atom. As for the formation energy from the elements: -77 meV per atom. Its space group is No. 139. The value obtained for the volume is 47.5 Å³/cell.

=====

# 7
Entry from Alexandria via LeMat-Bulk: NbOs after structural relaxation (PBE).

```
NbOs
1.0
-1.509 -1.236 -2.021
-1.272 -3.056 2.819
-3.509 3.532 2.246
Nb Os
2 2
Direct
0.500 0.000 0.500
0.000 0.000 0.000
0.821 0.500 0.240
0.179 0.500 0.760
```

Calculated values
The total magnetic moment is 0.00 μB per atom. As for the formation energy from the elements: -32 meV per atom. Its space group is No. 10. The value obtained for the volume is 64.8 Å³/cell.

=====

# 8
Entry from Alexandria via LeMat-Bulk: NbOs after structural relaxation (PBE).

```
NbOs
1.0
7.837 0.000 0.000
0.000 7.837 0.000
0.000 0.000 4.692
Nb Os
8 8
Direct
0.802 0.417 0.000
0.802 0.583 0.500
0.198 0.417 0.500
0.198 0.583 0.000
0.583 0.198 0.500
0.583 0.802 0.000
0.417 0.198 0.000
0.417 0.802 0.500
0.912 0.751 0.000
0.912 0.249 0.500
0.088 0.751 0.500
0.088 0.249 0.000
0.249 0.088 0.500
0.249 0.912 0.000
0.751 0.088 0.000
0.751 0.912 0.500
```

Calculated values
The total magnetic moment is 0.00 μB per atom. As for the formation energy from the elements: 312 meV per atom. Its space group is No. 124. The value obtained for the volume is 288.2 Å³/cell.

=====

# 9
Entry from Alexandria via LeMat-Bulk: NbOs after structural relaxation (PBE).

```
NbOs
1.0
4.465 0.000 0.000
0.000 3.199 0.000
0.000 0.000 9.116
Nb Os
4 4
Direct
0.000 0.250 0.623
0.000 0.750 0.377
0.500 0.750 0.123
0.500 0.250 0.877
0.000 0.250 0.135
0.000 0.750 0.865
0.500 0.750 0.635
0.500 0.250 0.365
```

Calculated values
The total magnetic moment is 0.00 μB per atom. As for the formation energy from the elements: -63 meV per atom. Its space group is No. 74. The value obtained for the volume is 130.2 Å³/cell.

=====

# 10
Entry from Alexandria via LeMat-Bulk: Nb13Os2 after structural relaxation (PBE).

```
Nb13Os2
1.0
5.317 0.424 -0.159
-0.128 7.688 -0.426
-1.117 -4.402 7.043
Nb Os
13 2
Direct
0.826 0.711 0.076
0.174 0.289 0.924
0.000 0.000 0.000
0.280 0.946 0.532
0.720 0.054 0.468
0.916 0.519 0.671
0.084 0.481 0.329
0.574 0.579 0.330
0.426 0.421 0.670
0.447 0.832 0.789
0.553 0.168 0.211
0.665 0.273 0.913
0.335 0.727 0.087
0.886 0.874 0.644
0.114 0.126 0.356
```

Calculated values
The total magnetic moment is 0.00 μB per atom. As for the formation energy from the elements: 89 meV per atom. Its space group is No. 2. The value obtained for the volume is 277.0 Å³/cell.

=====

# 11
Entry from Alexandria via LeMat-Bulk: NbOs after structural relaxation (PBE).

```
NbOs
1.0
5.264 0.000 0.000
0.000 5.264 0.000
0.000 0.000 5.264
Nb Os
4 4
Direct
0.000 0.000 0.000
0.000 0.500 0.500
0.500 0.000 0.500
0.500 0.500 0.000
0.500 0.500 0.500
0.500 0.000 0.000
0.000 0.500 0.000
0.000 0.000 0.500
```

Calculated values
The total magnetic moment is 0.00 μB per atom. As for the formation energy from the elements: 633 meV per atom. Its space group is No. 225. The value obtained for the volume is 145.9 Å³/cell.

=====

# 12
Entry from Alexandria via LeMat-Bulk: Nb4Os after structural relaxation (PBE).

```
Nb4Os
1.0
-1.842 -3.825 -2.301
1.169 -2.816 3.745
-4.308 0.871 2.000
Nb Os
4 1
Direct
0.000 0.000 0.000
0.500 0.000 0.500
0.000 0.500 0.500
0.500 0.500 0.000
0.500 0.500 0.500
```

Calculated values
The total magnetic moment is 0.21 μB per atom. As for the formation energy from the elements: 1181 meV per atom. Its space group is No. 221. The value obtained for the volume is 112.6 Å³/cell.